(1)
10
Lattice="3.5561 0.0000 0.0000 0.0000 3.5561 0.0000 0.0000 0.0000 20.0938" Properties=species:S:1:pos:R:3 comment="Er5In4Au | the Alexandria database | PBE | optimized geometry" magmom_total_mub_per_fu=0.00 ef_kj_per_mol_atoms=-52.0 space_group="P4/mmm, No. 123" pbc="T T T"
Er 1.7781 1.7781 1.7644
Er 1.7781 1.7781 5.9003
Er 1.7781 1.7781 10.0469
Er 1.7781 1.7781 14.1935
Er 1.7781 1.7781 18.3294
In 0.0000 0.0000 3.8488
In 0.0000 0.0000 7.9769
In 0.0000 0.0000 12.1169
In 0.0000 0.0000 16.2450
Au 0.0000 0.0000 0.0000

(2)
13
Lattice="5.3842 -0.0414 2.2431 2.5870 7.0874 1.0778 -0.0505 -0.0207 7.7045" Properties=species:S:1:pos:R:3 comment="TmMg11Zn | the Alexandria database | PBE | optimized geometry" magmom_total_mub_per_fu=0.00 ef_kj_per_mol_atoms=-2.0 space_group="C2/m, No. 12" pbc="T T T"
Tm 0.0000 0.0000 0.0000
Mg 2.1421 1.5112 2.4930
Mg 5.7786 5.5141 8.5324
Mg 4.6926 5.5348 3.5556
Mg 3.2280 1.4906 7.4698
Mg 3.5261 4.5467 6.5415
Mg 4.3946 2.4787 4.4839
Mg 6.2278 2.4580 7.6670
Mg 1.6929 4.5673 3.3584
Mg 1.2935 3.5437 0.5389
Mg 2.6668 -0.0310 4.9738
Mg -0.0252 -0.0103 3.8523
Zn 3.9856 3.5230 1.6605

(3)
19
Lattice="8.4316 1.2945 1.5508 0.0013 8.5304 1.5508 0.0013 0.0015 8.6702" Properties=species:S:1:pos:R:3 comment="TbPm6Dy12 | the Alexandria database | PBE | optimized geometry" e_above_lowest_polymorph_ev_per_atom=0.0000 magmom_total_mub_per_fu=0.00 ef_kj_per_mol_atoms=11.7 space_group="R-3m, No. 166" pbc="T T T"
Tb 0.0000 0.0000 0.0000
Pm 6.4850 7.5562 3.8005
Pm 7.0558 3.0542 3.6581
Pm 1.9485 7.4372 3.6587
Pm 1.9492 2.2702 7.9713
Pm 1.3783 6.7722 8.1137
Pm 6.4857 2.3892 8.1131
Dy 6.7772 5.1785 6.2037
Dy 4.0912 7.4839 6.2037
Dy 4.0912 4.7665 8.4720
Dy 1.6570 4.6479 5.5681
Dy 4.3430 2.3424 5.5681
Dy 4.3430 5.0599 3.2997
Dy 1.1517 1.3423 4.6339
Dy 7.2820 5.5068 9.6234
Dy 4.3392 8.0331 9.6230
Dy 7.2824 8.4841 7.1378
Dy 1.1522 4.3196 2.1484
Dy 4.0950 1.7933 2.1487

(4)
6
Lattice="4.0243 -0.3904 -0.2619 2.4620 3.2071 -0.2619 1.4986 0.6508 11.1145" Properties=species:S:1:pos:R:3 comment="LiCl2 | the Alexandria database | PBE | optimized geometry" e_above_lowest_polymorph_ev_per_atom=0.0278 magmom_total_mub_per_fu=0.00 raw_formation_energy_kj_per_mol_fu=-337 space_group="C2/m, No. 12" pbc="T T T"
Cl 7.7010 3.3442 10.2164
Cl 5.7436 2.4942 5.7533
Cl 4.6639 2.0253 3.1415
Cl 6.6214 2.8754 7.6046
Li 2.5773 1.1192 3.7212
Li 3.3014 1.4337 10.1605

(5)
4
Lattice="-4.7999 -1.9524 -0.1284 -1.8899 -1.1579 -4.6856 3.6822 -0.9120 3.5322" Properties=species:S:1:pos:R:3 comment="CaCo2Ni | the Alexandria database | PBE | optimized geometry" magmom_total_mub_per_fu=3.55 ef_kj_per_mol_atoms=37.0 space_group="Imm2, No. 44" pbc="T T T"
Ni -3.5726 -1.6610 -2.5709
Ca -0.7729 -1.8110 -1.7777
Co -6.4279 -2.9885 -4.6255
Co -2.2689 -2.2272 0.4713

(6)
11
Lattice="5.7596 0.0000 0.0000 2.8798 4.9869 0.0000 2.8798 0.0000 8.2289" Properties=species:S:1:pos:R:3 comment="Nd2Mg5Pd4 | the Alexandria database | PBE | optimized geometry" magmom_total_mub_per_fu=0.00 ef_kj_per_mol_atoms=-49.7 space_group="Fmmm, No. 69" pbc="T T T"
Nd 5.7596 0.0000 2.2980
Nd 2.8798 0.0000 5.9309
Mg 2.8798 0.0000 0.0000
Mg 1.4399 2.4935 0.0000
Mg 4.3197 2.4935 0.0000
Mg 4.3197 2.4935 4.1144
Mg 7.1994 2.4935 4.1144
Pd 5.7596 1.4801 6.0639
Pd 5.7596 3.5068 2.1650
Pd 2.8798 1.4801 2.1650
Pd 8.6393 3.5068 6.0639

(7)
4
Lattice="-2.8874 0.0829 -0.4575 -1.8222 -1.2275 1.9303 -2.1555 8.9649 5.8816" Properties=species:S:1:pos:R:3 comment="Zr2TaV | the Alexandria database | PBE | optimized geometry" e_above_lowest_polymorph_ev_per_atom=0.3225 magmom_total_mub_per_fu=0.98 ef_kj_per_mol_atoms=50.5 space_group="R-3m, No. 166" pbc="T T T"
V 0.0000 0.0000 0.0000
Zr -2.0085 6.6183 4.5281
Zr -4.8566 1.2020 2.8262
Ta -3.4326 3.9102 3.6772

(8)
4
Lattice="2.6888 -0.0006 -0.0016 1.3439 2.3289 -0.0016 1.3407 0.7740 6.3983" Properties=species:S:1:pos:R:3 comment="Ni2HPt | the Alexandria database | PBE | optimized geometry" e_above_lowest_polymorph_ev_per_atom=0.0076 magmom_total_mub_per_fu=0.75 space_group="R3m, No. 160" pbc="T T T"
Ni 1.3420 0.7748 5.3967
Ni 1.3452 0.7766 1.0313
H 4.0289 2.3261 6.3609
Pt 2.6847 1.5500 3.2019

(9)
4
Lattice="3.5904 0.0000 0.0000 1.7952 3.1094 0.0000 1.7952 1.0365 11.4865" Properties=species:S:1:pos:R:3 comment="TbDyY2 | the Alexandria database | PBE | optimized geometry" e_above_lowest_polymorph_ev_per_atom=0.0000 magmom_total_mub_per_fu=0.00 ef_kj_per_mol_atoms=0.9 space_group="R3m, No. 160" pbc="T T T"
Tb 3.5904 2.0729 0.0089
Dy 3.5904 2.0729 5.7296
Y 1.7952 1.0365 8.6018
Y 1.7952 1.0365 2.8894

Please write out number 2 again, unchanged.
13
Lattice="5.3842 -0.0414 2.2431 2.5870 7.0874 1.0778 -0.0505 -0.0207 7.7045" Properties=species:S:1:pos:R:3 comment="TmMg11Zn | the Alexandria database | PBE | optimized geometry" magmom_total_mub_per_fu=0.00 ef_kj_per_mol_atoms=-2.0 space_group="C2/m, No. 12" pbc="T T T"
Tm 0.0000 0.0000 0.0000
Mg 2.1421 1.5112 2.4930
Mg 5.7786 5.5141 8.5324
Mg 4.6926 5.5348 3.5556
Mg 3.2280 1.4906 7.4698
Mg 3.5261 4.5467 6.5415
Mg 4.3946 2.4787 4.4839
Mg 6.2278 2.4580 7.6670
Mg 1.6929 4.5673 3.3584
Mg 1.2935 3.5437 0.5389
Mg 2.6668 -0.0310 4.9738
Mg -0.0252 -0.0103 3.8523
Zn 3.9856 3.5230 1.6605